This record from Alexandria via LeMat-Bulk describes crystalline SrLi6Pt6 at its relaxed geometry. The functional is PBE-GGA.

Summary:
V = 16.6 A^3/atom
DFT formation energy = -63.2 kJ/mol of atoms

Geometry as CIF:
```
data_SrLi6Pt6
_chemical_formula_sum 'Sr2 Li12 Pt12'
_symmetry_space_group_name_H-M 'I m m m'
_symmetry_Int_Tables_number 71
_symmetry_space_group_name_Hall '-I 2 2'
_cell_length_a 5.396
_cell_length_b 8.673
_cell_length_c 9.236
_cell_angle_alpha 90.00
_cell_angle_beta 90.00
_cell_angle_gamma 90.00
loop_
_atom_site_label
_atom_site_type_symbol
_atom_site_fract_x
_atom_site_fract_y
_atom_site_fract_z
Sr1 Sr 0.000 0.000 0.000
Li1 Li 0.000 0.000 0.352
Li2 Li 0.000 0.337 0.000
Li3 Li 0.000 0.500 0.304
Pt1 Pt 0.000 0.263 0.500
Pt2 Pt 0.250 0.250 0.250
```

This record from Alexandria via LeMat-Bulk describes crystalline SrLi2Pt at its relaxed geometry. The functional is PBE-GGA.

Summary:
V = 23.2 A^3/atom
DFT formation energy = -32.8 kJ/mol of atoms

Geometry as CIF:
```
data_SrLi2Pt
_chemical_formula_sum 'Sr1 Li2 Pt1'
_symmetry_space_group_name_H-M 'P 4 m m'
_symmetry_Int_Tables_number 99
_cell_length_a 3.602
_cell_length_b 3.602
_cell_length_c 7.166
_cell_angle_alpha 90.00
_cell_angle_beta 90.00
_cell_angle_gamma 90.00
loop_
_symmetry_equiv_pos_as_xyz
'x,y,z'
'-y,x,z'
'-x,-y,z'
'y,-x,z'
'-x,y,z'
'y,x,z'
'x,-y,z'
'-y,-x,z'
loop_
_atom_site_label
_atom_site_type_symbol
_atom_site_fract_x
_atom_site_fract_y
_atom_site_fract_z
Sr1 Sr 0.000 0.000 0.000
Li1 Li 0.000 0.000 0.592
Li2 Li 0.500 0.500 0.393
Pt1 Pt 0.500 0.500 0.751
```

This record from Alexandria via LeMat-Bulk describes crystalline Sr8Li2Pt at its relaxed geometry. The functional is PBE-GGA.

Summary:
V = 42.2 A^3/atom
DFT formation energy = -12.5 kJ/mol of atoms

Geometry as CIF:
```
data_Sr8Li2Pt
_chemical_formula_sum 'Sr16 Li4 Pt2'
_symmetry_space_group_name_H-M 'C 1 2/m 1'
_symmetry_Int_Tables_number 12
_cell_length_a 20.643
_cell_length_b 6.118
_cell_length_c 7.768
_cell_angle_alpha 90.00
_cell_angle_beta 108.71
_cell_angle_gamma 90.00
loop_
_symmetry_equiv_pos_as_xyz
'x,y,z'
'-x,-y,-z'
'-x,y,-z'
'x,-y,z'
'x+1/2,y+1/2,z'
'-x+1/2,-y+1/2,-z'
'-x+1/2,y+1/2,-z'
'x+1/2,-y+1/2,z'
loop_
_atom_site_label
_atom_site_type_symbol
_atom_site_fract_x
_atom_site_fract_y
_atom_site_fract_z
Sr1 Sr 0.020 0.000 0.292
Sr2 Sr 0.087 0.500 0.903
Sr3 Sr 0.141 0.500 0.457
Sr4 Sr 0.209 0.000 0.801
Li1 Li 0.182 0.000 0.224
Pt1 Pt 0.000 0.500 0.500
```

Copy entry 1 word for word.
This record from Alexandria via LeMat-Bulk describes crystalline SrLi6Pt6 at its relaxed geometry. The functional is PBE-GGA.

Summary:
V = 16.6 A^3/atom
DFT formation energy = -63.2 kJ/mol of atoms

Geometry as CIF:
```
data_SrLi6Pt6
_chemical_formula_sum 'Sr2 Li12 Pt12'
_symmetry_space_group_name_H-M 'I m m m'
_symmetry_Int_Tables_number 71
_symmetry_space_group_name_Hall '-I 2 2'
_cell_length_a 5.396
_cell_length_b 8.673
_cell_length_c 9.236
_cell_angle_alpha 90.00
_cell_angle_beta 90.00
_cell_angle_gamma 90.00
loop_
_atom_site_label
_atom_site_type_symbol
_atom_site_fract_x
_atom_site_fract_y
_atom_site_fract_z
Sr1 Sr 0.000 0.000 0.000
Li1 Li 0.000 0.000 0.352
Li2 Li 0.000 0.337 0.000
Li3 Li 0.000 0.500 0.304
Pt1 Pt 0.000 0.263 0.500
Pt2 Pt 0.250 0.250 0.250
```